(1)
A plane-wave DFT calculation with meta-GGA SCAN was carried out for a PBEsol-optimized structure of NaMnSeBr2.

```
5
Lattice="-0.083 5.082 0.186 -4.683 -0.148 1.981 2.065 -0.144 4.871" Properties=species:S:1:pos:R:3 pbc="T T T"
Br -2.341 -0.074 0.990
Se 1.033 -0.072 2.436
Na 0.000 0.000 0.000
Br -0.041 2.541 0.093
Mn -1.350 2.395 3.519
```

* crystal system: tetragonal

(2)
A plane-wave DFT calculation with meta-GGA SCAN was carried out for a PBEsol-optimized structure of Mn3NbBr.

```
5
Lattice="4.348 0.000 0.000 0.000 4.348 0.000 0.000 0.000 4.348" Properties=species:S:1:pos:R:3 pbc="T T T"
Mn 0.000 2.174 0.000
Mn 0.000 0.000 2.174
Mn 2.174 0.000 0.000
Br 0.000 0.000 0.000
Nb 2.174 2.174 2.174
```

* crystal system: cubic
* offset from the most stable computed form: 0.000 eV per atom

D(E_F) (computed, states/eV/atom): 0.317 0.780
Energy relative to the elements, uncorrected (computed, meV per atom): -101 971